First-principles (GGA-PBE) data for an optimized crystal structure of PuMnVCr, as listed in the Alexandria database.

Cell lengths 6.157, 6.157, 6.157 Å; angles 90.00, 90.00, 90.00 degrees
Space group F-43m (No. 216)
Inequivalent atoms, fractional coordinates:
Pu1 0.000 0.000 0.000
Mn1 0.250 0.250 0.750
V1 0.000 0.000 0.500
Cr1 0.250 0.250 0.250

The electronic total energy comes out at -41.3 eV/f.u. The calculation puts the formation energy at 226.8 meV per atom.